No. 1
# GdEr2Tl3AgPd2

A geometry-optimized GdEr2Tl3AgPd2 structure (PBE, OQMD via LeMat-Bulk).

DFT total energy: -4.33 eV per atom
calculated density: 11.60 g cm⁻³

```
9
Lattice="3.754 0.000 0.000 0.000 6.871 3.957 0.000 -6.871 3.957" Properties=species:S:1:pos:R:3 pbc="T T T"
Gd 0.000 0.000 0.000
Er 0.000 -2.791 4.812
Er 0.000 2.791 4.812
Tl 1.877 -1.888 2.121
Tl 1.877 1.888 2.121
Tl 1.877 0.000 5.374
Ag 0.000 0.000 3.214
Pd 1.877 -4.556 3.200
Pd 1.877 4.556 3.200
```


No. 2
# GdEr2Tl3AgPt2

A geometry-optimized GdEr2Tl3AgPt2 structure (PBE, OQMD via LeMat-Bulk).

DFT total energy: -4.63 eV per atom
calculated density: 13.02 g cm⁻³

```
9
Lattice="3.758 0.000 0.000 0.000 6.878 3.954 0.000 -6.878 3.954" Properties=species:S:1:pos:R:3 pbc="T T T"
Gd 0.000 0.000 0.000
Er 0.000 -2.823 4.863
Er 0.000 2.823 4.863
Tl 1.879 -1.864 2.174
Tl 1.879 1.864 2.174
Tl 1.879 0.000 5.376
Ag 0.000 0.000 3.247
Pt 1.879 -4.562 3.234
Pt 1.879 4.562 3.234
```


No. 3
# GdErAg2S4

A geometry-optimized GdErAg2S4 structure (PBE, OQMD via LeMat-Bulk).

DFT total energy: -5.25 eV per atom
calculated density: 6.28 g cm⁻³

```
8
Lattice="4.623 -4.633 0.000 4.623 4.633 0.000 0.000 0.000 4.124" Properties=species:S:1:pos:R:3 pbc="T T T"
Gd 0.000 0.000 0.000
Er 4.623 0.000 2.266
Ag 2.311 2.317 3.194
Ag 2.311 -2.317 3.194
S 1.879 0.000 2.086
S 4.623 1.831 0.179
S 4.623 -1.831 0.179
S 7.367 0.000 2.086
```


No. 4
# GdEr2Ag4Sn4

A geometry-optimized GdEr2Ag4Sn4 structure (PBE, OQMD via LeMat-Bulk).

DFT total energy: -4.21 eV per atom
calculated density: 9.12 g cm⁻³

```
11
Lattice="-2.267 3.687 7.614 2.267 -3.687 7.614 2.267 3.687 -7.614" Properties=species:S:1:pos:R:3 pbc="T T T"
Gd 0.000 0.000 0.000
Er 2.267 0.000 5.682
Er 0.000 3.687 1.932
Ag 2.267 1.464 -2.607
Ag 2.267 1.464 2.607
Ag 0.000 2.223 5.006
Ag 0.000 2.223 10.221
Sn 0.000 0.000 3.286
Sn 2.267 2.248 0.000
Sn 0.000 1.439 7.614
Sn 0.000 0.000 11.941
```


No. 5
# Gd2ErAg4Sn4

A geometry-optimized Gd2ErAg4Sn4 structure (PBE, OQMD via LeMat-Bulk).

DFT total energy: -4.24 eV per atom
calculated density: 8.98 g cm⁻³

```
11
Lattice="-2.300 3.648 7.652 2.300 -3.648 7.652 2.300 3.648 -7.652" Properties=species:S:1:pos:R:3 pbc="T T T"
Gd 0.000 0.000 1.951
Gd 0.000 0.000 13.353
Er 0.000 3.648 0.000
Ag 2.300 2.191 -2.634
Ag 2.300 2.191 2.634
Ag 0.000 1.457 5.017
Ag 0.000 1.457 10.286
Sn 2.300 1.453 0.000
Sn 2.300 0.000 4.405
Sn 0.000 3.648 3.247
Sn 0.000 2.195 7.652
```


No. 6
# GdErAg2Te4

A geometry-optimized GdErAg2Te4 structure (PBE, OQMD via LeMat-Bulk).

DFT total energy: -4.34 eV per atom
calculated density: 7.34 g cm⁻³

```
8
Lattice="5.012 -5.031 0.000 5.012 5.031 0.000 0.000 0.000 4.714" Properties=species:S:1:pos:R:3 pbc="T T T"
Gd 0.000 0.000 0.000
Er 5.012 0.000 1.823
Ag 2.506 2.515 0.901
Ag 2.506 -2.515 0.901
Te 5.012 2.975 2.283
Te 3.014 0.000 4.258
Te 7.010 0.000 4.258
Te 5.012 -2.975 2.283
```


No. 7
# Er2AgGe

A geometry-optimized Er2AgGe structure (PBE, OQMD via LeMat-Bulk).

DFT total energy: -4.72 eV per atom
calculated density: 9.03 g cm⁻³

```
4
Lattice="4.293 0.000 0.000 0.000 2.021 5.457 0.000 -2.021 5.457" Properties=species:S:1:pos:R:3 pbc="T T T"
Er 0.000 0.000 0.000
Er 2.147 0.000 3.032
Ag 0.000 0.000 7.839
Ge 2.147 0.000 6.016
```


No. 8
# Er3Ag4Ge4

A geometry-optimized Er3Ag4Ge4 structure (PBE, OQMD via LeMat-Bulk).

DFT total energy: -4.45 eV per atom
calculated density: 9.15 g cm⁻³

```
11
Lattice="-2.155 3.568 7.216 2.155 -3.568 7.216 2.155 3.568 -7.216" Properties=species:S:1:pos:R:3 pbc="T T T"
Er 0.000 0.000 0.000
Er 2.155 0.000 5.410
Er 0.000 3.568 1.806
Ag 2.155 1.418 -2.450
Ag 2.155 1.418 2.450
Ag 0.000 2.150 4.766
Ag 0.000 2.150 9.666
Ge 0.000 0.000 3.123
Ge 2.155 2.254 0.000
Ge 0.000 1.314 7.216
Ge 0.000 0.000 11.308
```


No. 9
# Ho2ErAg4Ge4

A geometry-optimized Ho2ErAg4Ge4 structure (PBE, OQMD via LeMat-Bulk).

DFT total energy: -4.46 eV per atom
calculated density: 9.08 g cm⁻³

```
11
Lattice="-2.162 3.565 7.233 2.162 -3.565 7.233 2.162 3.565 -7.233" Properties=species:S:1:pos:R:3 pbc="T T T"
Ho 0.000 0.000 1.815
Ho 0.000 0.000 12.651
Er 0.000 3.565 0.000
Ag 2.162 2.151 -2.452
Ag 2.162 2.151 2.452
Ag 0.000 1.415 4.781
Ag 0.000 1.415 9.684
Ge 2.162 1.315 0.000
Ge 2.162 0.000 4.106
Ge 0.000 3.565 3.127
Ge 0.000 2.250 7.233
```


No. 10
# LaErAg2Ge2

A geometry-optimized LaErAg2Ge2 structure (PBE, OQMD via LeMat-Bulk).

DFT total energy: -4.69 eV per atom
calculated density: 8.20 g cm⁻³

```
6
Lattice="4.540 0.000 0.000 -2.270 3.932 0.000 0.000 0.000 7.568" Properties=species:S:1:pos:R:3 pbc="T T T"
La 0.000 0.000 0.000
Er 0.000 0.000 3.812
Ag 0.000 2.621 5.281
Ag 2.270 1.311 1.903
Ge 0.000 2.621 2.307
Ge 2.270 1.311 5.918
```


No. 11
# ErLu2Ag4Ge4

A geometry-optimized ErLu2Ag4Ge4 structure (PBE, OQMD via LeMat-Bulk).

DFT total energy: -4.42 eV per atom
calculated density: 9.37 g cm⁻³

```
11
Lattice="-2.139 3.569 7.189 2.139 -3.569 7.189 2.139 3.569 -7.189" Properties=species:S:1:pos:R:3 pbc="T T T"
Er 0.000 0.000 0.000
Lu 2.139 0.000 5.396
Lu 0.000 3.569 1.794
Ag 2.139 1.423 -2.440
Ag 2.139 1.423 2.440
Ag 0.000 2.146 4.749
Ag 0.000 2.146 9.630
Ge 0.000 0.000 3.123
Ge 2.139 2.259 0.000
Ge 0.000 1.310 7.189
Ge 0.000 0.000 11.256
```


No. 12
# ErAgGeO3

A geometry-optimized ErAgGeO3 structure (PBE, OQMD via LeMat-Bulk).

DFT total energy: -6.19 eV per atom
calculated density: 8.15 g cm⁻³

```
12
Lattice="1.496 -8.014 0.000 1.496 8.014 0.000 0.000 0.000 6.727" Properties=species:S:1:pos:R:3 pbc="T T T"
Er 0.000 0.000 0.000
Er 0.000 0.000 3.364
Ag 1.496 2.889 5.045
Ag 1.496 -2.889 1.682
Ge 1.496 2.879 1.682
Ge 1.496 -2.879 5.045
O 1.496 5.861 3.804
O 1.496 5.861 6.286
O 1.496 0.236 5.045
O 1.496 -0.236 1.682
O 1.496 -5.861 0.441
O 1.496 -5.861 2.923
```


| no. | size of the total moment (μB per cell) |
| --- | --- |
| 1 | 0.01 |
| 2 | 0.01 |
| 3 | 0.00 |
| 4 | 0.00 |
| 5 | 0.00 |
| 6 | 0.00 |
| 7 | 0.02 |
| 8 | 0.00 |
| 9 | 0.00 |
| 10 | 0.00 |
| 11 | 0.00 |
| 12 | 0.01 |